Computed, not measured: a PBEsol-optimized structure of TcHg2Br at the meta-GGA SCAN level of DFT.

abc: 6.8328 6.8328 6.8328
angles: 90.00 90.00 90.00
With the nearest neighbours (Å) after each atom.
Space group F-43m (No. 216)
Unique sites:
Tc  0.0000  0.0000  0.0000 (multiplicity 4)  4 Br 2.96, 4 Hg 2.96
Hg  0.0000  0.0000  0.5000 (multiplicity 4)  4 Hg 2.96, 4 Br 2.96
Hg  0.2500  0.2500  0.2500 (multiplicity 4)  4 Tc 2.96, 4 Hg 2.96
Br  0.2500  0.2500  0.7500 (multiplicity 4)  4 Hg 2.96, 4 Tc 2.96

VASP energy = -750.2 eV for the cell shown
Density of states at the Fermi level = 0.76 states/eV per atom
Formation energy (no corrections) = 0.8251 eV per atom